DFT (PBE-GGA) results for a geometry-optimized Ca2NpPt9 structure.

The calculation puts the calculated volume at 674.8 Å³/cell. Its uncorrected energy is -0.2435 hartree per atom. The value obtained for the calculated formation energy is -0.682 eV per atom. Its density is 15.30 g cm⁻³.

Cell lengths 5.3991, 5.3991, 26.7289 Å; angles 90.00, 90.00, 120.00 degrees
Space group R-3m (No. 166, hexagonal axes)
Unique sites:
Ca  0.0000  0.0000  0.1420 x6
Np  0.0000  0.0000  0.0000 x3
Pt  0.0000  0.0000  0.3328 x6
Pt  0.0000  0.0000  0.5000 x3
Pt  0.0024  0.5012  0.9158 x18